[1]
{
  "formula": "ZrNCl2",
  "functional": "PBE-GGA",
  "state": "optimized geometry",
  "lattice_angstrom": [[1.837, -2.686, 3.057], [-0.899, 0.604, 4.331], [-2.534, -2.955, 2.187]],
  "species": ["N", "Cl", "Cl", "Zr"],
  "fractional_positions": [[0.000, 0.000, 0.000], [0.750, 0.750, 0.750], [0.250, 0.250, 0.250], [0.500, 0.500, 0.500]],
  "magmom_total_mub_per_cell": 1.00,
  "formation_energy_uncorrected_mev_per_atom": 166,
  "total_energy_ev_per_atom": -4.9754,
  "vol_a3_per_cell": 62.93,
  "e_above_lowest_polymorph_mev_per_atom": 975,
  "crystal_system": "cubic"
}


[2]
{
  "formula": "YHg2Cl",
  "functional": "PBE-GGA",
  "state": "optimized geometry",
  "lattice_angstrom": [[0.000, 3.722, 3.722], [3.722, 0.000, 3.722], [3.722, 3.722, 0.000]],
  "species": ["Cl", "Hg", "Hg", "Y"],
  "fractional_positions": [[0.000, 0.000, 0.000], [0.250, 0.250, 0.250], [0.750, 0.750, 0.750], [0.500, 0.500, 0.500]],
  "magmom_total_mub_per_cell": 0.00,
  "formation_energy_uncorrected_mev_per_atom": -289,
  "total_energy_ev_per_atom": -2.5171,
  "vol_a3_per_cell": 103.10,
  "e_above_lowest_polymorph_mev_per_atom": 422,
  "crystal_system": "cubic"
}


[3]
{
  "formula": "CaTb4Pd5",
  "functional": "PBE-GGA",
  "state": "optimized geometry",
  "lattice_angstrom": [[-3.398, 0.718, -0.370], [-0.357, -2.771, -2.097], [-3.735, -10.325, 14.279]],
  "species": ["Tb", "Tb", "Tb", "Tb", "Pd", "Pd", "Pd", "Pd", "Pd", "Ca"],
  "fractional_positions": [[0.000, 0.000, 0.401], [0.000, 0.000, 0.800], [0.000, 0.000, 0.200], [0.000, 0.000, 0.599], [0.500, 0.500, 0.110], [0.500, 0.500, 0.302], [0.500, 0.500, 0.890], [0.500, 0.500, 0.698], [0.500, 0.500, 0.500], [0.000, 0.000, 0.000]],
  "formation_enthalpy_0k_ev_per_atom": -0.84,
  "magmom_total_mub_per_cell": 0.00,
  "total_energy_ev_per_atom": -5.4909,
  "vol_a3_per_cell": 219.76,
  "crystal_system": "tetragonal"
}


[4]
{
  "formula": "Li2PuF8",
  "functional": "PBE-GGA",
  "state": "optimized geometry",
  "lattice_angstrom": [[-1.771, 2.096, 4.496], [-4.885, -1.571, -1.191], [4.166, -4.678, 0.736]],
  "species": ["F", "F", "F", "F", "F", "F", "F", "F", "Li", "Li", "Pu"],
  "fractional_positions": [[0.571, 0.646, 0.757], [0.186, 0.111, 0.757], [0.354, 0.429, 0.243], [0.814, 0.354, 0.243], [0.646, 0.186, 0.757], [0.889, 0.814, 0.243], [0.111, 0.571, 0.757], [0.429, 0.889, 0.243], [0.750, 0.250, 0.500], [0.250, 0.750, 0.500], [0.500, 0.500, 0.000]],
  "magmom_total_mub_per_cell": 2.00,
  "formation_energy_uncorrected_mev_per_atom": -2764,
  "total_energy_ev_per_atom": -5.7757,
  "vol_a3_per_cell": 141.21,
  "crystal_system": "tetragonal"
}


[5]
{
  "formula": "BiCSeCl2",
  "functional": "PBE-GGA",
  "state": "optimized geometry",
  "lattice_angstrom": [[5.922, 0.000, 0.000], [0.000, 3.589, 0.000], [0.000, 0.000, 5.922]],
  "species": ["Se", "Cl", "Cl", "C", "Bi"],
  "fractional_positions": [[0.000, 0.000, 0.000], [0.500, 0.000, 0.000], [0.000, 0.000, 0.500], [0.000, 0.500, 0.000], [0.500, 0.500, 0.500]],
  "magmom_total_mub_per_cell": 0.00,
  "formation_energy_uncorrected_mev_per_atom": 923,
  "total_energy_ev_per_atom": -3.1338,
  "vol_a3_per_cell": 125.87,
  "crystal_system": "tetragonal"
}


[6]
{
  "formula": "HfZrAlCd",
  "functional": "PBE-GGA",
  "state": "optimized geometry",
  "lattice_angstrom": [[4.865, 0.000, 0.000], [2.433, 4.214, 0.000], [2.433, 1.405, 3.973]],
  "species": ["Al", "Cd", "Hf", "Zr"],
  "fractional_positions": [[0.250, 0.250, 0.250], [0.750, 0.750, 0.750], [0.500, 0.500, 0.500], [0.000, 0.000, 0.000]],
  "formation_enthalpy_0k_ev_per_atom": -0.12,
  "magmom_total_mub_per_cell": 0.00,
  "total_energy_ev_per_atom": -5.9099,
  "vol_a3_per_cell": 81.44,
  "e_above_lowest_polymorph_mev_per_atom": 130,
  "crystal_system": "cubic"
}